(1)
The following is a DFT calculation (GGA-PBEsol) of a relaxed LaScTeN2 crystal.

Unit cell a=4.300 b=4.300 c=5.470 alpha=90.00 beta=90.00 gamma=90.00
Fractional positions:
Sc (0.000, 0.000, 0.000)
N (0.000, 0.500, 0.000)
N (0.500, 0.000, 0.000)
Te (0.000, 0.000, 0.500)
La (0.500, 0.500, 0.500)

## Properties
Symmetry: No. 123
Formation energy without anion corrections (meV/atom): -327.4
Volume (Å³/atom): 20.2

=====

(2)
The following is a DFT calculation (GGA-PBEsol) of a relaxed Zr2HgAu crystal.

Unit cell a=4.175 b=4.333 c=4.333 alpha=90.00 beta=90.00 gamma=90.00
Fractional positions:
Au (0.500, 0.500, 0.500)
Hg (0.500, 0.000, 0.000)
Zr (0.000, 0.000, 0.500)
Zr (0.000, 0.500, 0.000)

## Properties
Symmetry: No. 123
ΔH_f (0 K) (eV per atom): -0.407
Volume (Å³/atom): 19.6

=====

For reference, DOS at the Fermi energy by record: 3.09; 4.15 states/eV per cell.